No. 1
VASP calculation (PBE) on Fe2Sn4Cl after structural relaxation.

a = 5.2387 Å, b = 5.2387 Å, c = 7.7853 Å
α = 70.34°, β = 70.34°, γ = 90.00°
Last column: nearest neighbours and their distance in Å.
Element x y z (fractional)
Fe 0.5799 0.5799 0.8402  1 Fe 2.19
Fe 0.4201 0.4201 0.1598  1 Fe 2.19
Sn 0.0000 0.5000 0.0000  2 Cl 2.62, 4 Fe 2.84
Sn 0.7667 0.7667 0.4666  1 Fe 2.56
Sn 0.2333 0.2333 0.5334  1 Fe 2.56
Sn 0.5000 0.0000 0.0000  2 Cl 2.62, 4 Fe 2.84
Cl 0.0000 0.0000 0.0000  4 Sn 2.62

Results
Formation energy from raw total energies (eV per atom): 0.527
Volume (A^3/atom): 26.846
VASP energy (eV per atom): -4.4425

No. 2
VASP calculation (PBE) on Fe2SnCl8 after structural relaxation.

a = 6.5365 Å, b = 7.9716 Å, c = 7.9716 Å
α = 69.60°, β = 83.47°, γ = 83.47°
Last column: nearest neighbours and their distance in Å.
Element x y z (fractional)
Cl 0.2294 0.3560 0.3560  1 Fe 2.15
Cl 0.7635 0.7001 0.0805  1 Fe 2.25
Cl 0.7635 0.0805 0.7001  1 Fe 2.25
Cl 0.2365 0.9195 0.2999  1 Fe 2.25
Cl 0.2365 0.2999 0.9195  1 Fe 2.25
Cl 0.3023 0.8201 0.8201  1 Fe 2.24
Cl 0.7706 0.6440 0.6440  1 Fe 2.15
Cl 0.6977 0.1799 0.1799  1 Fe 2.24
Sn 0.0000 0.0000 0.0000  6 Cl 2.84-2.86
Fe 0.6472 0.8050 0.8050  4 Cl 2.15-2.25
Fe 0.3528 0.1950 0.1950  4 Cl 2.15-2.25

Results
Formation energy from raw total energies (eV per atom): -0.836
Volume (A^3/atom): 35.052
VASP energy (eV per atom): -4.0816

No. 3
VASP calculation (PBE) on FeSn3Cl after structural relaxation.

a = 4.8909 Å, b = 4.8909 Å, c = 4.8909 Å
α = 90.00°, β = 90.00°, γ = 90.00°
Last column: nearest neighbours and their distance in Å.
Element x y z (fractional)
Cl 0.5000 0.5000 0.5000  12 Sn 3.46
Fe 0.0000 0.0000 0.0000  6 Sn 2.45
Sn 0.0000 0.5000 0.0000  2 Fe 2.45
Sn 0.0000 0.0000 0.5000  2 Fe 2.45
Sn 0.5000 0.0000 0.0000  2 Fe 2.45

Results
Formation energy from raw total energies (eV per atom): -0.176
Volume (A^3/atom): 23.399
Energy above the lowest structure with this stoichiometry (kJ per mole of atoms): 0.0
VASP energy (eV per atom): -4.6396

No. 4
VASP calculation (PBE) on FeSn2Cl after structural relaxation.

a = 6.1426 Å, b = 6.1426 Å, c = 7.7668 Å
α = 66.71°, β = 66.71°, γ = 90.00°
Last column: nearest neighbours and their distance in Å.
Element x y z (fractional)
Fe 0.7500 0.2500 0.5000  4 Sn 2.47
Fe 0.0000 0.0000 0.0000  4 Sn 2.47
Sn 0.0490 0.6250 0.2500  2 Fe 2.47
Sn 0.8750 0.9510 0.7500  2 Fe 2.47
Sn 0.7010 0.1250 0.2500  2 Fe 2.47
Sn 0.3750 0.2990 0.7500  2 Fe 2.47
Cl 0.2500 0.7500 0.5000  4 Sn 2.99
Cl 0.5000 0.5000 0.0000  4 Sn 2.99

Results
Formation energy from raw total energies (eV per atom): 0.288
Volume (A^3/atom): 30.368
Energy above the lowest structure with this stoichiometry (kJ per mole of atoms): 0.0
VASP energy (eV per atom): -4.2909

No. 5
VASP calculation (PBE) on FeSnCl2 after structural relaxation.

a = 4.9575 Å, b = 4.9575 Å, c = 4.9575 Å
α = 60.00°, β = 60.00°, γ = 60.00°
Last column: nearest neighbours and their distance in Å.
Element x y z (fractional)
Fe 0.0000 0.0000 0.0000  8 Cl 3.04
Sn 0.5000 0.5000 0.5000  8 Cl 3.04
Cl 0.2500 0.2500 0.2500  4 Sn 3.04, 4 Fe 3.04
Cl 0.7500 0.7500 0.7500  4 Sn 3.04, 4 Fe 3.04

Results
Formation energy from raw total energies (eV per atom): 0.184
Volume (A^3/atom): 21.538
Energy above the lowest structure with this stoichiometry (kJ per mole of atoms): 19.3
VASP energy (eV per atom): -3.8560

No. 6
VASP calculation (PBE) on FeSnCl2 after structural relaxation.

a = 6.5808 Å, b = 6.5808 Å, c = 6.8808 Å
α = 61.43°, β = 61.43°, γ = 90.00°
Last column: nearest neighbours and their distance in Å.
Element x y z (fractional)
Cl 0.2278 0.6250 0.2500  2 Fe 2.29
Cl 0.3750 0.4778 0.7500  2 Fe 2.29
Cl 0.8750 0.7722 0.7500  2 Fe 2.29
Cl 0.5222 0.1250 0.2500  2 Fe 2.29
Fe 0.2500 0.7500 0.5000  4 Cl 2.29
Fe 0.5000 0.5000 0.0000  4 Cl 2.29
Sn 0.0000 0.0000 0.0000  4 Cl 3.11
Sn 0.7500 0.2500 0.5000  4 Cl 3.11

Results
Formation energy from raw total energies (eV per atom): -0.017
Volume (A^3/atom): 27.439
Energy above the lowest structure with this stoichiometry (kJ per mole of atoms): 0.0
VASP energy (eV per atom): -4.0562

No. 7
VASP calculation (PBE) on FeSnCl4 after structural relaxation.

a = 6.7788 Å, b = 6.6989 Å, c = 17.6104 Å
α = 81.46°, β = 90.00°, γ = 90.00°
Last column: nearest neighbours and their distance in Å.
Element x y z (fractional)
Sn 0.1435 0.6971 0.8131  2 Cl 2.53-2.70
Sn 0.3565 0.6971 0.3131  2 Cl 2.53-2.70
Sn 0.6435 0.3029 0.6869  2 Cl 2.53-2.70
Sn 0.8565 0.3029 0.1869  2 Cl 2.53-2.70
Cl 0.4624 0.9907 0.8166  1 Fe 2.30
Cl 0.6750 0.4268 0.2964  1 Sn 2.53
Cl 0.0376 0.9907 0.3166  1 Fe 2.30
Cl 0.7472 0.0989 0.4889  2 Fe 2.27-2.31
Cl 0.1750 0.5732 0.2036  1 Sn 2.53
Cl 0.2528 0.9011 0.5111  2 Fe 2.27-2.31
Cl 0.3129 0.4288 0.9231  1 Fe 2.29
Cl 0.8250 0.4268 0.7964  1 Sn 2.53
Cl 0.1871 0.4288 0.4231  1 Fe 2.29
Cl 0.7528 0.0989 0.9889  2 Fe 2.27-2.31
Cl 0.8129 0.5712 0.5769  1 Fe 2.29
Cl 0.5376 0.0093 0.1834  1 Fe 2.30
Cl 0.2472 0.9011 0.0111  2 Fe 2.27-2.31
Cl 0.6871 0.5712 0.0769  1 Fe 2.29
Cl 0.9624 0.0093 0.6834  1 Fe 2.30
Cl 0.3250 0.5732 0.7036  1 Sn 2.53
Fe 0.9515 0.8851 0.5685  4 Cl 2.27-2.31
Fe 0.5485 0.8851 0.0685  4 Cl 2.27-2.31
Fe 0.4515 0.1149 0.9315  4 Cl 2.27-2.31
Fe 0.0485 0.1149 0.4315  4 Cl 2.27-2.31

Results
Formation energy from raw total energies (eV per atom): -0.848
Volume (A^3/atom): 32.952
VASP energy (eV per atom): -4.1565

No. 8
VASP calculation (PBE) on Fe2SnCl6 after structural relaxation.

a = 6.9237 Å, b = 8.9527 Å, c = 8.9527 Å
α = 85.43°, β = 80.72°, γ = 80.72°
Last column: nearest neighbours and their distance in Å.
Element x y z (fractional)
Cl 0.6278 0.6104 0.1397  1 Fe 2.29
Cl 0.4120 0.7084 0.5749  2 Fe 2.30
Cl 0.0880 0.4251 0.2916  2 Fe 2.30
Cl 0.8561 0.2140 0.0376  1 Fe 2.30
Cl 0.1439 0.7860 0.9624  1 Fe 2.30
Cl 0.3561 0.0376 0.2140  1 Fe 2.30
Cl 0.3722 0.3896 0.8603  1 Fe 2.29
Cl 0.1278 0.1397 0.6104  1 Fe 2.29
Cl 0.8722 0.8603 0.3896  1 Fe 2.29
Cl 0.5880 0.2916 0.4251  2 Fe 2.30
Cl 0.6439 0.9624 0.7860  1 Fe 2.30
Cl 0.9120 0.5749 0.7084  2 Fe 2.30
Fe 0.7054 0.7757 0.6147  4 Cl 2.29-2.30
Fe 0.7946 0.3853 0.2243  4 Cl 2.29-2.30
Fe 0.2054 0.6147 0.7757  4 Cl 2.29-2.30
Fe 0.2946 0.2243 0.3853  4 Cl 2.29-2.30
Sn 0.2500 0.1177 0.8823  4 Cl 2.69-2.88
Sn 0.7500 0.8823 0.1177  4 Cl 2.69-2.88

Results
Formation energy from raw total energies (eV per atom): -0.769
Volume (A^3/atom): 29.982
VASP energy (eV per atom): -4.3255

No. 9
VASP calculation (PBE) on FeSnCl5 after structural relaxation.

a = 9.2777 Å, b = 10.0111 Å, c = 10.8289 Å
α = 90.00°, β = 90.00°, γ = 90.00°
Last column: nearest neighbours and their distance in Å.
Element x y z (fractional)
Cl 0.5607 0.7158 0.6275  1 Fe 2.21
Cl 0.7500 0.5265 0.2966  1 Fe 2.21
Cl 0.9393 0.7842 0.1275  1 Fe 2.21
Cl 0.7500 0.3430 0.6589  1 Sn 2.46
Cl 0.4393 0.2158 0.8725  1 Fe 2.21
Cl 0.2500 0.6570 0.3411  1 Sn 2.46
Cl 0.7500 0.1570 0.1589  1 Sn 2.46
Cl 0.2500 0.0265 0.2034  1 Fe 2.21
Cl 0.2500 0.8430 0.8411  1 Sn 2.46
Cl 0.0607 0.2842 0.3725  1 Fe 2.21
Cl 0.2500 0.4735 0.7034  1 Fe 2.21
Cl 0.2500 0.0332 0.5478  1 Fe 2.22
Cl 0.0607 0.2158 0.8725  1 Fe 2.21
Cl 0.9393 0.7158 0.6275  1 Fe 2.21
Cl 0.7500 0.5332 0.9522  1 Fe 2.22
Cl 0.5607 0.7842 0.1275  1 Fe 2.21
Cl 0.2500 0.4668 0.0478  1 Fe 2.22
Cl 0.7500 0.9735 0.7966  1 Fe 2.21
Cl 0.4393 0.2842 0.3725  1 Fe 2.21
Cl 0.7500 0.9668 0.4522  1 Fe 2.22
Sn 0.2500 0.7550 0.6293  1 Cl 2.46
Sn 0.7500 0.2450 0.3707  1 Cl 2.46
Sn 0.7500 0.2550 0.8707  1 Cl 2.46
Sn 0.2500 0.7450 0.1293  1 Cl 2.46
Fe 0.2500 0.1495 0.3732  4 Cl 2.21-2.22
Fe 0.7500 0.6495 0.1268  4 Cl 2.21-2.22
Fe 0.7500 0.8505 0.6268  4 Cl 2.21-2.22
Fe 0.2500 0.3505 0.8732  4 Cl 2.21-2.22

Results
Formation energy from raw total energies (eV per atom): -0.852
Volume (A^3/atom): 35.921
VASP energy (eV per atom): -3.9519

No. 10
VASP calculation (PBE) on TlFeSn2Cl8 after structural relaxation.

a = 7.2040 Å, b = 6.1217 Å, c = 8.5477 Å
α = 101.41°, β = 76.97°, γ = 85.97°
Last column: nearest neighbours and their distance in Å.
Element x y z (fractional)
Cl 0.1777 0.7835 0.1136  1 Fe 2.27
Cl 0.0536 0.7105 0.7720  1 Fe 2.30
Cl 0.8223 0.2165 0.8864  1 Fe 2.27
Cl 0.6386 0.7207 0.5186  1 Sn 2.61
Cl 0.3614 0.2793 0.4814  1 Sn 2.61
Cl 0.7214 0.8668 0.1138  1 Fe 2.30
Cl 0.9464 0.2895 0.2280  1 Fe 2.30
Cl 0.2786 0.1332 0.8862  1 Fe 2.30
Fe 0.0000 0.0000 0.0000  6 Cl 2.27-2.30
Sn 0.3877 0.5042 0.7667  3 Cl 2.61-2.76
Sn 0.6123 0.4958 0.2333  3 Cl 2.61-2.76
Tl 0.0000 0.0000 0.5000  6 Cl 3.21-3.26

Results
Formation energy from raw total energies (eV per atom): -0.827
Volume (A^3/atom): 29.781
VASP energy (eV per atom): -3.6278

No. 11
VASP calculation (PBE) on TlFe2SnCl8 after structural relaxation.

a = 7.4814 Å, b = 7.5351 Å, c = 9.7000 Å
α = 52.58°, β = 67.32°, γ = 60.24°
Last column: nearest neighbours and their distance in Å.
Element x y z (fractional)
Cl 0.6649 0.5313 0.1389  1 Fe 2.20
Cl 0.1412 0.9928 0.2450  1 Fe 2.28
Cl 0.6210 0.9928 0.2450  1 Fe 2.28
Cl 0.3351 0.4687 0.8611  1 Fe 2.20
Cl 0.8588 0.0072 0.7550  1 Fe 2.28
Cl 0.8727 0.5100 0.7445  1 Fe 2.26
Cl 0.1273 0.4900 0.2555  1 Fe 2.26
Cl 0.3790 0.0072 0.7550  1 Fe 2.28
Tl 0.5000 0.5000 0.5000  6 Cl 3.13-3.34
Sn 0.0000 0.0000 0.0000  6 Cl 2.90-2.91
Fe 0.6961 0.7556 0.8521  4 Cl 2.20-2.28
Fe 0.3039 0.2444 0.1479  4 Cl 2.20-2.28

Results
Formation energy from raw total energies (eV per atom): -0.865
Volume (A^3/atom): 31.180
VASP energy (eV per atom): -4.0370

No. 12
VASP calculation (PBE) on Tl2FeSnCl6 after structural relaxation.

a = 7.4876 Å, b = 7.4880 Å, c = 7.2938 Å
α = 59.08°, β = 59.11°, γ = 59.97°
Last column: nearest neighbours and their distance in Å.
Element x y z (fractional)
Fe 0.3161 0.3161 0.0516  6 Cl 2.48-2.49
Cl 0.5390 0.1514 0.2944  1 Fe 2.48
Cl 0.1510 0.0156 0.2951  1 Fe 2.48
Cl 0.6168 0.0928 0.8090  1 Fe 2.49
Cl 0.0934 0.4809 0.8085  1 Fe 2.49
Cl 0.0155 0.5396 0.2939  1 Fe 2.48
Cl 0.4814 0.6168 0.8078  1 Fe 2.49
Tl 0.0801 0.0801 0.7592  6 Cl 3.25-3.41
Tl 0.5521 0.5521 0.3440  6 Cl 3.25-3.41
Sn 0.8161 0.8161 0.5516  6 Cl 2.84

Results
Formation energy from raw total energies (eV per atom): -0.897
Volume (A^3/atom): 28.509
VASP energy (eV per atom): -3.7251